1.
9
Lattice="7.716 0.000 0.000 -3.858 6.682 0.000 0.000 0.000 4.216" Properties=species:S:1:pos:R:3 comment="GdBiPd, relaxed, DFT PBE" total_energy_ev_per_cell=-48.9 pbc="T T T"
Gd -2.345 4.061 0.000
Gd 1.513 2.621 0.000
Gd 4.689 0.000 0.000
Bi -1.049 1.817 2.108
Bi 2.098 0.000 2.108
Bi 2.809 4.865 2.108
Pd 0.000 0.000 0.000
Pd 0.000 4.455 2.108
Pd 3.858 2.227 2.108



2.
22
Lattice="2.219 -7.820 0.000 2.219 7.820 0.000 0.000 0.000 18.522" Properties=species:S:1:pos:R:3 comment="RbLa2Cu3Te4Se, relaxed, DFT PBE" total_energy_ev_per_cell=-97.1 pbc="T T T"
Rb 2.219 6.772 13.891
Rb 2.219 -6.772 4.630
La 2.219 4.770 1.784
La 2.219 4.770 7.477
La 2.219 -4.770 11.045
La 2.219 -4.770 16.738
Cu 2.219 2.565 13.891
Cu 2.219 1.299 0.372
Cu 2.219 1.299 8.889
Cu 2.219 -1.299 9.633
Cu 2.219 -1.299 18.150
Cu 2.219 -2.565 4.630
Te 2.219 5.396 10.583
Te 2.219 5.396 17.200
Te 2.219 0.814 11.511
Te 2.219 0.814 16.272
Te 2.219 -0.814 2.250
Te 2.219 -0.814 7.011
Te 2.219 -5.396 1.322
Te 2.219 -5.396 7.939
Se 2.219 4.111 4.630
Se 2.219 -4.111 13.891



3.
6
Lattice="6.154 0.000 0.000 0.000 6.154 0.000 0.000 0.000 3.723" Properties=species:S:1:pos:R:3 comment="ZrS2, relaxed, DFT PBE" total_energy_ev_per_cell=-42.0 pbc="T T T"
Zr 0.000 0.000 0.000
Zr 3.077 3.077 1.861
S 1.221 1.221 1.861
S 1.856 4.298 0.000
S 4.298 1.856 0.000
S 4.934 4.934 1.861



4.
4
Lattice="0.000 3.193 3.193 3.193 0.000 3.193 3.193 3.193 0.000" Properties=species:S:1:pos:R:3 comment="CoTcBiPd, relaxed, DFT PBE" total_energy_ev_per_cell=-25.0 pbc="T T T"
Co 0.000 0.000 0.000
Tc 3.193 3.193 3.193
Bi 4.789 4.789 4.789
Pd 1.596 1.596 1.596